MgRe3, relaxed, DFT PBE; calculated total energy = -9.209 eV/atom; energy of formation = 2.10 eV/f.u.; crystal system = cubic
1.0
3.946 0.000 0.000
0.000 3.946 0.000
0.000 0.000 3.946
Mg Re
1 3
Cartesian
1.973 1.973 0.000
0.000 1.973 1.973
0.000 0.000 0.000
1.973 0.000 1.973

---

Ce2DyZn2Si2, relaxed, DFT PBE; calculated total energy = -4.678 eV/atom; formation energy (no corrections) = -0.412 eV per atom; crystal system = trigonal
1.0
4.222 0.000 0.000
2.111 3.657 0.000
2.111 1.219 9.142
Ce Dy Si Zn
2 1 2 2
Cartesian
6.334 3.657 3.856
2.111 1.219 5.286
0.000 0.000 0.000
2.111 1.219 1.899
6.334 3.657 7.243
4.222 2.438 7.264
4.222 2.438 1.878

---

Cu2Sn2Te, relaxed, DFT PBE; calculated total energy = -3.670 eV/atom; formation energy (no corrections) = 0.198 eV per atom; crystal system = tetragonal
1.0
8.428 0.000 0.000
0.000 8.428 0.000
0.000 0.000 3.098
Sn Cu Te
4 4 2
Cartesian
2.640 6.854 0.000
1.574 2.640 0.000
5.788 1.574 0.000
6.854 5.788 0.000
0.875 5.089 1.549
3.339 0.875 1.549
5.089 7.553 1.549
7.553 3.339 1.549
0.000 0.000 0.000
4.214 4.214 0.000

---

Li3Ce3CoS8, relaxed, DFT PBE; calculated total energy = -5.649 eV/atom; formation energy (no corrections) = -1.404 eV per atom; crystal system = trigonal
1.0
-6.593 3.563 2.118
0.531 -3.366 -7.002
-0.227 -4.179 6.323
S Co Ce Li
8 1 3 3
Cartesian
-0.946 -3.705 -4.785
-4.895 -0.227 -0.537
-5.343 -0.277 6.224
-1.414 -1.774 -1.419
-4.874 -2.208 2.858
-4.663 -1.695 -3.591
-1.394 -3.755 1.976
-1.626 -2.287 5.030
-0.114 -2.089 3.161
-3.144 -1.991 0.720
-3.410 -0.308 4.220
0.152 -3.772 -0.339
0.265 -1.683 -3.501
-3.031 0.098 -2.442
0.000 0.000 0.000

---

LiAgBiS3, relaxed, DFT PBE; calculated total energy = -3.875 eV/atom; formation energy (no corrections) = -0.370 eV per atom; crystal system = monoclinic
1.0
-0.542 -3.449 -1.609
7.086 -1.565 0.966
-4.790 -2.853 7.728
S Li Bi Ag
6 2 2 2
Cartesian
2.048 -3.859 0.692
3.059 -3.727 4.660
-0.294 -4.008 6.392
5.433 -4.281 0.458
-1.305 -4.140 2.424
-3.679 -3.585 6.627
-2.279 -5.736 6.174
4.033 -2.130 0.911
1.513 -6.065 5.601
0.241 -1.801 1.484
-1.937 -3.005 4.797
3.691 -4.861 2.288

---

Tl2ClF, relaxed, DFT PBE; calculated total energy = -3.346 eV/atom; formation energy (no corrections) = -1.234 eV per atom; crystal system = cubic
1.0
3.780 -3.372 1.314
3.271 1.135 3.925
-0.303 -2.645 4.506
Tl Cl F
2 1 1
Cartesian
1.687 -1.221 2.436
5.061 -3.662 7.309
3.374 -2.441 4.872
0.000 0.000 0.000

---

LaZnPb3, relaxed, DFT PBE; calculated total energy = -3.457 eV/atom; energy of formation = 0.04 eV/f.u.; crystal system = cubic
1.0
-5.368 -0.641 0.056
0.522 -4.607 -2.781
0.377 -2.756 4.636
Pb La Zn
3 1 1
Cartesian
0.261 -2.303 -1.391
0.189 -1.378 2.318
-2.684 -0.321 0.028
-2.234 -4.002 0.955
0.000 0.000 0.000